[1]
Computed, not measured: an optimized crystal structure of MnIn2Te at the PBE level of DFT.

Properties
The value obtained for the formation energy (no corrections) is 169 meV/atom. For the electronic total energy, the calculation gives -4.28 eV per atom.

Cell and atoms, written as CIF:
```
data_MnIn2Te
_chemical_formula_sum 'Mn1 In2 Te1'
_cell_length_a 4.288
_cell_length_b 4.079
_cell_length_c 6.333
_cell_angle_alpha 90.00
_cell_angle_beta 109.04
_cell_angle_gamma 90.00
_symmetry_space_group_name_H-M 'P 1 2/m 1'
_symmetry_Int_Tables_number 10
loop_
_symmetry_equiv_pos_as_xyz
'x,y,z'
'-x,-y,-z'
'-x,y,-z'
'x,-y,z'
loop_
_atom_site_label
_atom_site_fract_x
_atom_site_fract_y
_atom_site_fract_z
Mn1 0.000 0.000 0.000
In1 0.000 0.000 0.500
In2 0.500 0.500 0.500
Te1 0.500 0.500 0.000
```


[2]
Computed, not measured: an optimized crystal structure of TbCe2Th3As6 at the PBE level of DFT.

Properties
The value obtained for the energy relative to the elements is -1.44 eV per atom. For the electronic total energy, the calculation gives -7.00 eV per atom.

Cell and atoms, written as CIF:
```
data_TbCe2Th3As6
_chemical_formula_sum 'Tb2 Ce4 Th6 As12'
_cell_length_a 18.409
_cell_length_b 4.228
_cell_length_c 8.447
_cell_angle_alpha 90.00
_cell_angle_beta 103.17
_cell_angle_gamma 90.00
_symmetry_space_group_name_H-M 'C 1 2/m 1'
_symmetry_Int_Tables_number 12
loop_
_symmetry_equiv_pos_as_xyz
'x,y,z'
'-x,-y,-z'
'-x,y,-z'
'x,-y,z'
'x+1/2,y+1/2,z'
'-x+1/2,-y+1/2,-z'
'-x+1/2,y+1/2,-z'
'x+1/2,-y+1/2,z'
loop_
_atom_site_label
_atom_site_fract_x
_atom_site_fract_y
_atom_site_fract_z
Tb1 0.000 0.000 0.000
Ce1 0.166 0.500 0.332
Th1 0.000 0.000 0.500
Th2 0.167 0.500 0.834
As1 0.000 0.500 0.246
As2 0.165 0.000 0.084
As3 0.167 0.000 0.582
```


[3]
Computed, not measured: an optimized crystal structure of BeAgRu3 at the PBE level of DFT.

Properties
The value obtained for the energy relative to the elements is 2.62 eV per atom. The energy above the most stable polymorph in this dataset is 182.8 kJ per mole of atoms. For the electronic total energy, the calculation gives -4.26 eV per atom.

Cell and atoms, written as CIF:
```
data_BeAgRu3
_chemical_formula_sum 'Be1 Ag1 Ru3'
_cell_length_a 4.805
_cell_length_b 4.805
_cell_length_c 4.805
_cell_angle_alpha 90.00
_cell_angle_beta 90.00
_cell_angle_gamma 90.00
_symmetry_space_group_name_H-M 'P m -3 m'
_symmetry_Int_Tables_number 221
_symmetry_space_group_name_Hall '-P 4 2 3'
loop_
_atom_site_label
_atom_site_fract_x
_atom_site_fract_y
_atom_site_fract_z
Be1 0.000 0.000 0.000
Ag1 0.500 0.500 0.500
Ru1 0.000 0.500 0.500
```


[4]
Computed, not measured: an optimized crystal structure of MnBe3Sn at the PBE level of DFT.

Properties
The value obtained for the energy relative to the elements is 1.84 eV per atom. The energy above the most stable polymorph in this dataset is 97.2 kJ per mole of atoms. For the electronic total energy, the calculation gives -3.03 eV per atom.

Cell and atoms, written as CIF:
```
data_MnBe3Sn
_chemical_formula_sum 'Mn1 Be3 Sn1'
_cell_length_a 4.422
_cell_length_b 4.422
_cell_length_c 4.422
_cell_angle_alpha 90.00
_cell_angle_beta 90.00
_cell_angle_gamma 90.00
_symmetry_space_group_name_H-M 'P m -3 m'
_symmetry_Int_Tables_number 221
_symmetry_space_group_name_Hall '-P 4 2 3'
loop_
_atom_site_label
_atom_site_fract_x
_atom_site_fract_y
_atom_site_fract_z
Mn1 0.000 0.000 0.000
Be1 0.000 0.500 0.500
Sn1 0.500 0.500 0.500
```